{
  "formula": "Sm3B2Rh4",
  "functional": "PBE",
  "state": "relaxed",
  "cell": [[4.973, -2.000, 0.000], [4.973, 2.000, 0.000], [-1.966, 0.000, 8.049]],
  "species": ["Sm", "Sm", "Sm", "B", "B", "Rh", "Rh", "Rh", "Rh"],
  "frac_coords": [[0.000, 0.000, 0.000], [0.389, 0.389, 0.298], [0.611, 0.611, 0.702], [0.319, 0.319, 0.651], [0.681, 0.681, 0.349], [0.145, 0.145, 0.436], [0.294, 0.294, 0.894], [0.706, 0.706, 0.106], [0.855, 0.855, 0.564]],
  "crystal_system": "monoclinic",
  "dft_energy_ev_per_atom": -6.93,
  "m_tot_mub_per_atom": 0.00
}